# 1
# Dy3PbS2, optimized geometry, DFT PBE
# Formation energy without anion corrections (meV/atom): -1269
# Magnetization (μB/atom): 0.00
# Calculated volume (Å³ per cell): 307.5
data_Dy3PbS2
_chemical_formula_sum 'Dy6 Pb2 S4'
_cell_length_a 7.185
_cell_length_b 7.185
_cell_length_c 10.032
_cell_angle_alpha 90.00
_cell_angle_beta 90.00
_cell_angle_gamma 143.57
_symmetry_space_group_name_H-M 'P 1'
_symmetry_Int_Tables_number 1
loop_
_symmetry_equiv_pos_as_xyz
'x,y,z'
loop_
_atom_site_label
_atom_site_type_symbol
_atom_site_fract_x
_atom_site_fract_y
_atom_site_fract_z
_atom_site_occupancy
Dy1 Dy 0.088 0.912 0.750 1
Dy2 Dy 0.361 0.639 0.558 1
Dy3 Dy 0.361 0.639 0.942 1
Dy4 Dy 0.639 0.361 0.058 1
Dy5 Dy 0.639 0.361 0.442 1
Dy6 Dy 0.912 0.088 0.250 1
Pb1 Pb 0.242 0.758 0.250 1
Pb2 Pb 0.758 0.242 0.750 1
S1 S 0.000 0.000 0.000 1
S2 S 0.000 0.000 0.500 1
S3 S 0.491 0.509 0.750 1
S4 S 0.509 0.491 0.250 1

# 2
# LiPrI3, optimized geometry, DFT PBE
# Formation energy without anion corrections (meV/atom): -1196
# Magnetization (μB/atom): 0.00
# Calculated volume (Å³ per cell): 347.0
data_LiPrI3
_chemical_formula_sum 'Li2 Pr2 I6'
_cell_length_a 8.116
_cell_length_b 4.012
_cell_length_c 11.250
_cell_angle_alpha 90.00
_cell_angle_beta 108.70
_cell_angle_gamma 90.00
_symmetry_space_group_name_H-M 'P 1'
_symmetry_Int_Tables_number 1
loop_
_symmetry_equiv_pos_as_xyz
'x,y,z'
loop_
_atom_site_label
_atom_site_type_symbol
_atom_site_fract_x
_atom_site_fract_y
_atom_site_fract_z
_atom_site_occupancy
Li1 Li 0.000 0.000 0.000 1
Li2 Li 0.389 0.500 0.351 1
Pr1 Pr 0.401 0.000 0.854 1
Pr2 Pr 0.987 0.500 0.496 1
I1 I 0.111 0.000 0.306 1
I2 I 0.278 0.500 0.044 1
I3 I 0.411 0.500 0.628 1
I4 I 0.654 0.000 0.364 1
I5 I 0.734 0.500 0.986 1
I6 I 0.977 0.000 0.722 1

# 3
# ZnGePd6, optimized geometry, DFT PBE
# ΔH_f (0 K) (eV per atom): -0.33
# Offset from the most stable computed form (meV per atom): 0
# Magnetization (μB/atom): 0.00
# Calculated volume (Å³ per cell): 120.8
data_ZnGePd6
_chemical_formula_sum 'Zn1 Ge1 Pd6'
_cell_length_a 3.935
_cell_length_b 3.935
_cell_length_c 7.800
_cell_angle_alpha 90.00
_cell_angle_beta 90.00
_cell_angle_gamma 90.00
_symmetry_space_group_name_H-M 'P 1'
_symmetry_Int_Tables_number 1
loop_
_symmetry_equiv_pos_as_xyz
'x,y,z'
loop_
_atom_site_label
_atom_site_type_symbol
_atom_site_fract_x
_atom_site_fract_y
_atom_site_fract_z
_atom_site_occupancy
Zn1 Zn 0.000 0.000 0.000 1
Ge1 Ge 0.000 0.000 0.500 1
Pd1 Pd 0.000 0.500 0.251 1
Pd2 Pd 0.000 0.500 0.749 1
Pd3 Pd 0.500 0.000 0.251 1
Pd4 Pd 0.500 0.000 0.749 1
Pd5 Pd 0.500 0.500 0.000 1
Pd6 Pd 0.500 0.500 0.500 1

# 4
# HoTh2Rh, optimized geometry, DFT PBE
# ΔH_f (0 K) (eV per atom): -0.46
# Offset from the most stable computed form (meV per atom): 3
# Magnetization (μB/atom): 0.00
# Calculated volume (Å³ per cell): 446.4
data_HoTh2Rh
_chemical_formula_sum 'Ho4 Th8 Rh4'
_cell_length_a 7.109
_cell_length_b 10.090
_cell_length_c 6.223
_cell_angle_alpha 90.00
_cell_angle_beta 90.00
_cell_angle_gamma 90.00
_symmetry_space_group_name_H-M 'P 1'
_symmetry_Int_Tables_number 1
loop_
_symmetry_equiv_pos_as_xyz
'x,y,z'
loop_
_atom_site_label
_atom_site_type_symbol
_atom_site_fract_x
_atom_site_fract_y
_atom_site_fract_z
_atom_site_occupancy
Ho1 Ho 0.040 0.250 0.155 1
Ho2 Ho 0.460 0.750 0.655 1
Ho3 Ho 0.540 0.250 0.345 1
Ho4 Ho 0.960 0.750 0.845 1
Th1 Th 0.180 0.059 0.656 1
Th2 Th 0.180 0.441 0.656 1
Th3 Th 0.320 0.559 0.156 1
Th4 Th 0.320 0.941 0.156 1
Th5 Th 0.680 0.059 0.844 1
Th6 Th 0.680 0.441 0.844 1
Th7 Th 0.820 0.559 0.344 1
Th8 Th 0.820 0.941 0.344 1
Rh1 Rh 0.114 0.750 0.390 1
Rh2 Rh 0.386 0.250 0.890 1
Rh3 Rh 0.614 0.750 0.110 1
Rh4 Rh 0.886 0.250 0.610 1

# 5
# AlCd6Pd12, optimized geometry, DFT PBE
# ΔH_f (0 K) (eV per atom): -0.26
# Magnetization (μB/atom): 0.00
# Calculated volume (Å³ per cell): 330.4
data_AlCd6Pd12
_chemical_formula_sum 'Al1 Cd6 Pd12'
_cell_length_a 6.928
_cell_length_b 6.928
_cell_length_c 6.928
_cell_angle_alpha 93.68
_cell_angle_beta 93.68
_cell_angle_gamma 93.68
_symmetry_space_group_name_H-M 'P 1'
_symmetry_Int_Tables_number 1
loop_
_symmetry_equiv_pos_as_xyz
'x,y,z'
loop_
_atom_site_label
_atom_site_type_symbol
_atom_site_fract_x
_atom_site_fract_y
_atom_site_fract_z
_atom_site_occupancy
Al1 Al 0.000 0.000 0.000 1
Cd1 Cd 0.125 0.733 0.302 1
Cd2 Cd 0.267 0.698 0.875 1
Cd3 Cd 0.302 0.125 0.733 1
Cd4 Cd 0.698 0.875 0.267 1
Cd5 Cd 0.733 0.302 0.125 1
Cd6 Cd 0.875 0.267 0.698 1
Pd1 Pd 0.033 0.124 0.350 1
Pd2 Pd 0.124 0.350 0.033 1
Pd3 Pd 0.211 0.449 0.537 1
Pd4 Pd 0.350 0.033 0.124 1
Pd5 Pd 0.449 0.537 0.211 1
Pd6 Pd 0.463 0.789 0.551 1
Pd7 Pd 0.537 0.211 0.449 1
Pd8 Pd 0.551 0.463 0.789 1
Pd9 Pd 0.650 0.967 0.876 1
Pd10 Pd 0.789 0.551 0.463 1
Pd11 Pd 0.876 0.650 0.967 1
Pd12 Pd 0.967 0.876 0.650 1

# 6
# LiSm3Pu4S8, optimized geometry, DFT PBE
# Formation energy without anion corrections (meV/atom): -1840
# Magnetization (μB/atom): 1.41
# Calculated volume (Å³ per cell): 354.0
data_LiSm3Pu4S8
_chemical_formula_sum 'Li1 Sm3 Pu4 S8'
_cell_length_a 7.944
_cell_length_b 7.944
_cell_length_c 7.944
_cell_angle_alpha 59.94
_cell_angle_beta 59.94
_cell_angle_gamma 59.94
_symmetry_space_group_name_H-M 'P 1'
_symmetry_Int_Tables_number 1
loop_
_symmetry_equiv_pos_as_xyz
'x,y,z'
loop_
_atom_site_label
_atom_site_type_symbol
_atom_site_fract_x
_atom_site_fract_y
_atom_site_fract_z
_atom_site_occupancy
Li1 Li 0.000 0.000 0.000 1
Sm1 Sm 0.000 0.500 0.500 1
Sm2 Sm 0.500 0.000 0.500 1
Sm3 Sm 0.500 0.500 0.000 1
Pu1 Pu 0.000 0.000 0.500 1
Pu2 Pu 0.000 0.500 0.000 1
Pu3 Pu 0.500 0.000 0.000 1
Pu4 Pu 0.500 0.500 0.500 1
S1 S 0.245 0.752 0.752 1
S2 S 0.248 0.248 0.248 1
S3 S 0.248 0.248 0.755 1
S4 S 0.248 0.755 0.248 1
S5 S 0.752 0.245 0.752 1
S6 S 0.752 0.752 0.245 1
S7 S 0.752 0.752 0.752 1
S8 S 0.755 0.248 0.248 1

# 7
# BaCo3B, optimized geometry, DFT PBE
# ΔH_f (0 K) (eV per atom): 3.05
# Offset from the most stable computed form (meV per atom): 2626
# Magnetization (μB/atom): 0.51
# Calculated volume (Å³ per cell): 112.2
data_BaCo3B
_chemical_formula_sum 'Ba1 Co3 B1'
_cell_length_a 4.823
_cell_length_b 4.823
_cell_length_c 4.823
_cell_angle_alpha 90.00
_cell_angle_beta 90.00
_cell_angle_gamma 90.00
_symmetry_space_group_name_H-M 'P 1'
_symmetry_Int_Tables_number 1
loop_
_symmetry_equiv_pos_as_xyz
'x,y,z'
loop_
_atom_site_label
_atom_site_type_symbol
_atom_site_fract_x
_atom_site_fract_y
_atom_site_fract_z
_atom_site_occupancy
Ba1 Ba 0.000 0.000 0.000 1
Co1 Co 0.000 0.000 0.500 1
Co2 Co 0.000 0.500 0.000 1
Co3 Co 0.500 0.000 0.000 1
B1 B 0.500 0.500 0.500 1

# 8
# CaZnSe2, optimized geometry, DFT PBE
# Formation energy without anion corrections (meV/atom): -1180
# Magnetization (μB/atom): 0.00
# Calculated volume (Å³ per cell): 106.9
data_CaZnSe2
_chemical_formula_sum 'Ca1 Zn1 Se2'
_cell_length_a 6.893
_cell_length_b 6.893
_cell_length_c 4.188
_cell_angle_alpha 95.38
_cell_angle_beta 95.38
_cell_angle_gamma 32.68
_symmetry_space_group_name_H-M 'P 1'
_symmetry_Int_Tables_number 1
loop_
_symmetry_equiv_pos_as_xyz
'x,y,z'
loop_
_atom_site_label
_atom_site_type_symbol
_atom_site_fract_x
_atom_site_fract_y
_atom_site_fract_z
_atom_site_occupancy
Ca1 Ca 0.000 0.000 0.000 1
Zn1 Zn 0.736 0.736 0.752 1
Se1 Se 0.319 0.319 0.005 1
Se2 Se 0.565 0.565 0.521 1

# 9
# RbSrLi, optimized geometry, DFT PBE
# ΔH_f (0 K) (eV per atom): 0.14
# Offset from the most stable computed form (meV per atom): 29
# Magnetization (μB/atom): 0.00
# Calculated volume (Å³ per cell): 158.4
data_RbSrLi
_chemical_formula_sum 'Rb1 Sr1 Li1'
_cell_length_a 8.917
_cell_length_b 8.917
_cell_length_c 8.917
_cell_angle_alpha 151.76
_cell_angle_beta 151.76
_cell_angle_gamma 40.36
_symmetry_space_group_name_H-M 'P 1'
_symmetry_Int_Tables_number 1
loop_
_symmetry_equiv_pos_as_xyz
'x,y,z'
loop_
_atom_site_label
_atom_site_type_symbol
_atom_site_fract_x
_atom_site_fract_y
_atom_site_fract_z
_atom_site_occupancy
Rb1 Rb 0.000 0.000 0.000 1
Sr1 Sr 0.280 0.280 0.000 1
Li1 Li 0.660 0.660 0.000 1

# 10
# Li3ScPa2N6, optimized geometry, DFT PBE
# Formation energy without anion corrections (meV/atom): -1044
# Magnetization (μB/atom): 0.00
# Calculated volume (Å³ per cell): 152.1
data_Li3ScPa2N6
_chemical_formula_sum 'Li3 Sc1 Pa2 N6'
_cell_length_a 5.950
_cell_length_b 5.950
_cell_length_c 5.340
_cell_angle_alpha 99.97
_cell_angle_beta 99.97
_cell_angle_gamma 120.80
_symmetry_space_group_name_H-M 'P 1'
_symmetry_Int_Tables_number 1
loop_
_symmetry_equiv_pos_as_xyz
'x,y,z'
loop_
_atom_site_label
_atom_site_type_symbol
_atom_site_fract_x
_atom_site_fract_y
_atom_site_fract_z
_atom_site_occupancy
Li1 Li 0.000 0.000 0.000 1
Li2 Li 0.352 0.648 0.000 1
Li3 Li 0.648 0.352 0.000 1
Sc1 Sc 0.500 0.500 0.500 1
Pa1 Pa 0.166 0.834 0.500 1
Pa2 Pa 0.834 0.166 0.500 1
N1 N 0.093 0.424 0.281 1
N2 N 0.238 0.238 0.721 1
N3 N 0.424 0.093 0.281 1
N4 N 0.576 0.907 0.719 1
N5 N 0.762 0.762 0.279 1
N6 N 0.907 0.576 0.719 1

# 11
# Zr2AgAu, optimized geometry, DFT PBE
# ΔH_f (0 K) (eV per atom): -0.05
# Magnetization (μB/atom): 0.00
# Calculated volume (Å³ per cell): 81.8
data_Zr2AgAu
_chemical_formula_sum 'Zr2 Ag1 Au1'
_cell_length_a 9.964
_cell_length_b 9.964
_cell_length_c 9.964
_cell_angle_alpha 17.93
_cell_angle_beta 17.93
_cell_angle_gamma 17.93
_symmetry_space_group_name_H-M 'P 1'
_symmetry_Int_Tables_number 1
loop_
_symmetry_equiv_pos_as_xyz
'x,y,z'
loop_
_atom_site_label
_atom_site_type_symbol
_atom_site_fract_x
_atom_site_fract_y
_atom_site_fract_z
_atom_site_occupancy
Zr1 Zr 0.248 0.248 0.248 1
Zr2 Zr 0.752 0.752 0.752 1
Ag1 Ag 0.000 0.000 0.000 1
Au1 Au 0.500 0.500 0.500 1

# 12
# Ta2TiHgH, optimized geometry, DFT PBE
# Offset from the most stable computed form (meV per atom): 104
# Magnetization (μB/atom): 0.00
# Calculated volume (Å³ per cell): 76.2
data_Ta2TiHgH
_chemical_formula_sum 'Ta2 Ti1 Hg1 H1'
_cell_length_a 4.015
_cell_length_b 4.015
_cell_length_c 4.726
_cell_angle_alpha 90.00
_cell_angle_beta 90.00
_cell_angle_gamma 90.00
_symmetry_space_group_name_H-M 'P 1'
_symmetry_Int_Tables_number 1
loop_
_symmetry_equiv_pos_as_xyz
'x,y,z'
loop_
_atom_site_label
_atom_site_type_symbol
_atom_site_fract_x
_atom_site_fract_y
_atom_site_fract_z
_atom_site_occupancy
Ta1 Ta 0.000 0.500 0.000 1
Ta2 Ta 0.500 0.000 0.000 1
Ti1 Ti 0.000 0.000 0.500 1
Hg1 Hg 0.500 0.500 0.500 1
H1 H 0.500 0.500 0.000 1

Look up the calculated volume of the fifth one.
330.4 Å³ per cell

What is the formula in the fifth record?
AlCd6Pd12

What is the formula in the eighth record?
CaZnSe2

What is the formula in the eleventh record?
Zr2AgAu